[1]
This record from Alexandria via LeMat-Bulk describes an optimized crystal structure of Pm3ErMg3. The functional is PBE.

Cell lengths 6.515, 6.515, 10.704 Å; angles 90.83, 90.83, 111.34 degrees
Fractional coordinates of all 14 atoms:
1 Er 0.715 0.715 0.991
2 Mg 0.000 0.000 0.240
3 Pm 0.530 0.530 0.327
4 Er 0.285 0.285 0.009
5 Mg 0.015 0.500 0.249
6 Pm 0.825 0.175 0.500
7 Mg 0.500 0.015 0.249
8 Mg 0.500 0.985 0.751
9 Pm 0.470 0.470 0.673
10 Mg 0.985 0.500 0.751
11 Pm 0.775 0.225 0.000
12 Pm 0.175 0.825 0.500
13 Pm 0.225 0.775 0.000
14 Mg 0.000 0.000 0.760

Summary:
DFT total energy = -0.242 Ry/atom
Total magnetic moment = 1.59 μB per cell
Formation energy from the elements = 0.575 eV per formula unit

---

[2]
This record from Alexandria via LeMat-Bulk describes an optimized crystal structure of Pm2Er6Mg. The functional is PBE.

Cell lengths 5.004, 10.500, 10.500 Å; angles 90.00, 90.00, 90.00 degrees
Fractional coordinates of all 18 atoms:
1 Er 0.000 0.334 0.501
2 Er 0.000 0.666 0.499
3 Er 0.500 0.501 0.666
4 Er 0.500 0.166 0.001
5 Mg 0.000 0.000 0.500
6 Pm 0.000 0.335 0.835
7 Er 0.000 0.668 0.832
8 Pm 0.500 0.835 0.665
9 Er 0.500 0.499 0.334
10 Mg 0.500 0.500 0.000
11 Er 0.500 0.832 0.332
12 Er 0.500 0.834 0.999
13 Er 0.000 0.332 0.168
14 Er 0.500 0.168 0.668
15 Pm 0.000 0.665 0.165
16 Er 0.000 0.001 0.834
17 Er 0.000 0.999 0.166
18 Pm 0.500 0.165 0.335

Summary:
DFT total energy = -0.312 Ry/atom
Total magnetic moment = 0.00 μB per cell
Formation energy from the elements = 0.244 eV per formula unit

---

[3]
This record from Alexandria via LeMat-Bulk describes an optimized crystal structure of Pm2ErMg5. The functional is PBE.

Cell lengths 5.235, 5.235, 8.650 Å; angles 107.61, 107.61, 90.00 degrees
Fractional coordinates of all 8 atoms:
1 Er 0.000 0.000 0.000
2 Pm 0.742 0.742 0.484
3 Mg 0.615 0.115 0.229
4 Mg 0.885 0.385 0.771
5 Mg 0.115 0.615 0.229
6 Pm 0.258 0.258 0.516
7 Mg 0.385 0.885 0.771
8 Mg 0.500 0.500 0.000

Summary:
DFT total energy = -0.208 Ry/atom
Total magnetic moment = 0.00 μB per cell
Formation energy from the elements = -0.556 eV per formula unit

---

- Which value of DFT total energy does entry 2 give?
  -0.312 Ry/atom

---

- Which value of formation energy from the elements does entry 2 give?
  0.244 eV per formula unit